Record 1
Density functional theory data (GGA-PBE) for a relaxed LiZrI5 crystal.

Output
Its raw formation energy is -918.4 meV per atom. The total energy comes out at -98.56 eV per cell.

Structure (CIF):
```
data_LiZrI5
_symmetry_space_group_name_H-M 'C 1 2/c 1'
_symmetry_Int_Tables_number 15
_symmetry_space_group_name_Hall '-C 2yc'
_cell_length_a 11.3396
_cell_length_b 11.4004
_cell_length_c 11.1771
_cell_angle_alpha 90.00
_cell_angle_beta 119.79
_cell_angle_gamma 90.00
loop_
_atom_site_label
_atom_site_fract_x
_atom_site_fract_y
_atom_site_fract_z
Li1 0.0000 0.1292 0.2500
Zr1 0.2500 0.2500 0.0000
I1 0.0000 0.3291 0.7500
I2 0.1228 0.2955 0.1615
I3 0.1693 0.0119 0.9703
```


Record 2
Density functional theory data (GGA-PBE) for a relaxed Li2ZrI6 crystal.

Output
Its raw formation energy is -1015.7 meV per atom. The total energy comes out at -61.64 eV per cell.

Structure (CIF):
```
data_Li2ZrI6
_symmetry_space_group_name_H-M 'P 1 21/c 1'
_symmetry_Int_Tables_number 14
_symmetry_space_group_name_Hall '-P 2ybc'
_cell_length_a 7.3083
_cell_length_b 7.0539
_cell_length_c 14.6315
_cell_angle_alpha 90.00
_cell_angle_beta 119.94
_cell_angle_gamma 90.00
loop_
_atom_site_label
_atom_site_fract_x
_atom_site_fract_y
_atom_site_fract_z
Li1 0.1627 0.0016 0.1628
Zr1 0.5000 0.0000 0.0000
I1 0.1717 0.2330 0.8389
I2 0.1807 0.7379 0.5005
I3 0.4934 0.2349 0.1604
```


Record 3
Density functional theory data (GGA-PBE) for a relaxed Li2ZrI6 crystal.

Output
Its raw formation energy is -1008.8 meV per atom. The total energy comes out at -61.51 eV per cell.

Structure (CIF):
```
data_Li2ZrI6
_symmetry_space_group_name_H-M 'P 1 21/c 1'
_symmetry_Int_Tables_number 14
_symmetry_space_group_name_Hall '-P 2ybc'
_cell_length_a 7.2457
_cell_length_b 7.9875
_cell_length_c 14.2098
_cell_angle_alpha 90.00
_cell_angle_beta 117.88
_cell_angle_gamma 90.00
loop_
_atom_site_label
_atom_site_fract_x
_atom_site_fract_y
_atom_site_fract_z
Li1 0.1234 0.0798 0.1359
Zr1 0.5000 0.0000 0.0000
I1 0.1438 0.1072 0.8036
I2 0.2268 0.7113 0.5458
I3 0.4319 0.2291 0.6127
```


Record 4
Density functional theory data (GGA-PBE) for a relaxed Li3ZrI crystal.

Output
Its raw formation energy is 477.8 meV per atom. The total energy comes out at -13.45 eV per cell.

Structure (CIF):
```
data_Li3ZrI
_symmetry_space_group_name_H-M 'P m -3 m'
_symmetry_Int_Tables_number 221
_symmetry_space_group_name_Hall '-P 4 2 3'
_cell_length_a 5.0390
_cell_length_b 5.0390
_cell_length_c 5.0390
_cell_angle_alpha 90.00
_cell_angle_beta 90.00
_cell_angle_gamma 90.00
loop_
_atom_site_label
_atom_site_fract_x
_atom_site_fract_y
_atom_site_fract_z
Li1 0.0000 0.0000 0.5000
Zr1 0.5000 0.5000 0.5000
I1 0.0000 0.0000 0.0000
```


Record 5
Density functional theory data (GGA-PBE) for a relaxed LiZrI6 crystal.

Output
Its raw formation energy is -749.9 meV per atom. The total energy comes out at -25.76 eV per cell.

Structure (CIF):
```
data_LiZrI6
_symmetry_space_group_name_H-M 'P -1'
_symmetry_Int_Tables_number 2
_symmetry_space_group_name_Hall '-P 1'
_cell_length_a 7.3426
_cell_length_b 7.3484
_cell_length_c 7.7482
_cell_angle_alpha 89.97
_cell_angle_beta 61.94
_cell_angle_gamma 60.07
loop_
_atom_site_label
_atom_site_fract_x
_atom_site_fract_y
_atom_site_fract_z
Li1 0.0000 0.0000 0.0000
Zr1 0.0000 0.5000 0.5000
I1 0.1589 0.5765 0.7508
I2 0.1719 0.7374 0.2521
I3 0.4842 0.0932 0.2519
```


Record 6
Density functional theory data (GGA-PBE) for a relaxed LiZr2I8 crystal.

Output
Its raw formation energy is -834.2 meV per atom. The total energy comes out at -81.17 eV per cell.

Structure (CIF):
```
data_LiZr2I8
_symmetry_space_group_name_H-M 'C 1 2/m 1'
_symmetry_Int_Tables_number 12
_symmetry_space_group_name_Hall '-C 2y'
_cell_length_a 13.8893
_cell_length_b 11.4581
_cell_length_c 7.4717
_cell_angle_alpha 90.00
_cell_angle_beta 90.47
_cell_angle_gamma 90.00
loop_
_atom_site_label
_atom_site_fract_x
_atom_site_fract_y
_atom_site_fract_z
Li1 0.0000 0.0000 0.0000
Zr1 0.2003 0.0000 0.3529
I1 0.1024 0.1854 0.2032
I2 0.1129 0.5000 0.7496
I3 0.1831 0.0000 0.7172
```


Record 7
Density functional theory data (GGA-PBE) for a relaxed NaLuI2 crystal.

Output
Its raw formation energy is -725.3 meV per atom. The total energy comes out at -35.53 eV per cell.

Structure (CIF):
```
data_NaLuI2
_symmetry_space_group_name_H-M 'R -3 m'
_symmetry_Int_Tables_number 166
_symmetry_space_group_name_Hall '-R 3 2"'
_cell_length_a 4.2132
_cell_length_b 4.2132
_cell_length_c 29.5747
_cell_angle_alpha 90.00
_cell_angle_beta 90.00
_cell_angle_gamma 120.00
loop_
_atom_site_label
_atom_site_fract_x
_atom_site_fract_y
_atom_site_fract_z
Na1 0.0000 0.0000 0.0000
Lu1 0.0000 0.0000 0.5000
I1 0.0000 0.0000 0.4003
```


Record 8
Density functional theory data (GGA-PBE) for a relaxed NdLuI crystal.

Output
Its raw formation energy is -167.5 meV per atom. The total energy comes out at -11.34 eV per cell.

Structure (CIF):
```
data_NdLuI
_symmetry_space_group_name_H-M 'P 3 m 1'
_symmetry_Int_Tables_number 156
_symmetry_space_group_name_Hall 'P 3 -2"'
_cell_length_a 5.4175
_cell_length_b 5.4175
_cell_length_c 3.8118
_cell_angle_alpha 90.00
_cell_angle_beta 90.00
_cell_angle_gamma 120.00
loop_
_atom_site_label
_atom_site_fract_x
_atom_site_fract_y
_atom_site_fract_z
Nd1 0.0000 0.0000 0.0000
Lu1 0.6667 0.3333 0.4839
I1 0.3333 0.6667 0.3490
```


Record 9
Density functional theory data (GGA-PBE) for a relaxed LuNiI2 crystal.

Output
Its raw formation energy is -5.3 meV per atom. The total energy comes out at -40.27 eV per cell.

Structure (CIF):
```
data_LuNiI2
_symmetry_space_group_name_H-M 'R -3 m'
_symmetry_Int_Tables_number 166
_symmetry_space_group_name_Hall '-R 3 2"'
_cell_length_a 3.9196
_cell_length_b 3.9196
_cell_length_c 26.9005
_cell_angle_alpha 90.00
_cell_angle_beta 90.00
_cell_angle_gamma 120.00
loop_
_atom_site_label
_atom_site_fract_x
_atom_site_fract_y
_atom_site_fract_z
Lu1 0.0000 0.0000 0.0000
Ni1 0.0000 0.0000 0.5000
I1 0.0000 0.0000 0.1101
```


Record 10
Density functional theory data (GGA-PBE) for a relaxed LuIO crystal.

Output
Its raw formation energy is -2724.9 meV per atom. The total energy comes out at -38.41 eV per cell.

Structure (CIF):
```
data_LuIO
_symmetry_space_group_name_H-M 'P 4/n m m'
_symmetry_Int_Tables_number 129
_cell_length_a 3.8597
_cell_length_b 3.8597
_cell_length_c 10.0568
_cell_angle_alpha 90.00
_cell_angle_beta 90.00
_cell_angle_gamma 90.00
loop_
_symmetry_equiv_pos_as_xyz
'x,y,z'
'-x,-y,-z'
'-y+1/2,x,z'
'y+1/2,-x,-z'
'-x+1/2,-y+1/2,z'
'x+1/2,y+1/2,-z'
'y,-x+1/2,z'
'-y,x+1/2,-z'
'x+1/2,-y,-z'
'-x+1/2,y,z'
'-y,-x,-z'
'y,x,z'
'-x,y+1/2,-z'
'x,-y+1/2,z'
'y+1/2,x+1/2,-z'
'-y+1/2,-x+1/2,z'
loop_
_atom_site_label
_atom_site_fract_x
_atom_site_fract_y
_atom_site_fract_z
Lu1 0.2500 0.2500 0.1045
I1 0.2500 0.2500 0.7041
O1 0.2500 0.7500 0.0000
```